Density functional theory data (GGA+U) for crystalline Na2VAsO6 at its relaxed geometry.

Cell lengths 4.9011, 5.0199, 5.0199 Å; angles 90.00, 90.00, 90.00 degrees
Fractional positions:
O: 0.2256 0.0000 0.0000
O: 0.2406 0.5000 0.5000
O: 0.6880 0.2453 0.7547
O: 0.6880 0.7547 0.2453
O: 0.6880 0.2453 0.2453
O: 0.6880 0.7547 0.7547
As: 0.5724 0.0000 0.0000
Na: 0.0381 0.0000 0.5000
Na: 0.0381 0.5000 0.0000
V: 0.5797 0.5000 0.5000

Calculated values
Final energy: -60.54 eV per cell